First-principles (PBE) data for a relaxed structure of KInPb4, as listed in Alexandria via LeMat-Bulk.

Computed properties:
Formation energy in eV per atom: -0.01
Final energy in eV per atom: -3.12
Polymorph energy (0 for the lowest one) in kcal/mol of atoms: 0.306

abc: 5.6359 5.6359 7.1082
angles: 90.00 90.00 120.00
Space group P6/mmm (No. 191)
Inequivalent atoms, fractional coordinates:
K1 0.0000 0.0000 0.0000 (multiplicity 1)
In1 0.0000 0.0000 0.5000 (multiplicity 1)
Pb1 0.3333 0.6667 0.2677 (multiplicity 4)

First-principles (PBE) data for a relaxed structure of Nd2HgAs, as listed in Alexandria via LeMat-Bulk.

Computed properties:
Formation energy in eV per atom: -0.90
Final energy in eV per atom: -4.52
Polymorph energy (0 for the lowest one) in kcal/mol of atoms: 0.808

abc: 4.1757 4.1757 23.5853
angles: 90.00 90.00 120.00
Space group R3m (No. 160, hexagonal axes)
Inequivalent atoms, fractional coordinates:
Nd1 0.0000 0.0000 0.0000 (multiplicity 3)
Nd2 0.0000 0.0000 0.1897 (multiplicity 3)
Hg1 0.0000 0.0000 0.7622 (multiplicity 3)
As1 0.0000 0.0000 0.5943 (multiplicity 3)

Which value of final energy does entry 2 give? -4.52 eV per atom

Look up the final energy of the first one. -3.12 eV per atom